Record 1
# Pm5Nd8In

Crystalline Pm5Nd8In at its relaxed geometry (GGA-PBE, the Alexandria database).

Energy relative to the elements ... 0.10 eV/atom
Density ... 6.739 Mg/m³
Electronic total energy ... -4.5140 eV/atom
Space-group type ... No. 5

Geometry as POSCAR:
```
Pm5Nd8In
1.0
-3.224 -4.994 -6.226
7.998 3.459 -1.539
2.130 -3.982 7.328
Nd Pm In
8 5 1
Direct
0.068 0.574 0.346
0.054 0.957 0.629
0.672 0.043 0.097
0.274 0.332 0.414
0.771 0.426 0.494
0.523 0.643 0.224
0.581 0.357 0.881
0.082 0.668 0.942
0.333 0.128 0.106
0.978 0.872 0.205
0.497 0.000 0.497
0.991 0.249 0.920
0.671 0.751 0.742
0.253 0.500 0.753
```

Record 2
# PmNd5In6

Crystalline PmNd5In6 at its relaxed geometry (GGA-PBE, the Alexandria database).

Energy relative to the elements ... -0.50 eV/atom
Density ... 7.425 Mg/m³
Electronic total energy ... -4.2472 eV/atom
Space-group type ... No. 12

Geometry as POSCAR:
```
PmNd5In6
1.0
5.168 1.777 0.000
2.652 9.116 0.000
1.326 4.558 8.203
In Nd Pm
6 5 1
Direct
0.249 0.917 0.668
0.748 0.752 0.000
0.252 0.248 0.000
0.751 0.083 0.332
0.751 0.415 0.668
0.249 0.585 0.332
0.000 0.666 0.667
0.500 0.167 0.665
0.000 0.334 0.333
0.500 0.833 0.335
0.500 0.500 0.000
0.000 0.000 0.000
```

Record 3
# PmNd15In4

Crystalline PmNd15In4 at its relaxed geometry (GGA-PBE, the Alexandria database).

Energy relative to the elements ... -0.21 eV/atom
Density ... 7.215 Mg/m³
Electronic total energy ... -4.5714 eV/atom
Space-group type ... No. 123

Geometry as POSCAR:
```
PmNd15In4
1.0
4.995 0.000 0.000
0.000 4.995 0.000
0.000 0.000 25.534
Nd In Pm
15 4 1
Direct
0.500 0.500 0.000
0.500 0.500 0.598
0.500 0.000 0.696
0.500 0.000 0.304
0.000 0.500 0.106
0.500 0.500 0.206
0.500 0.000 0.894
0.000 0.500 0.696
0.500 0.000 0.500
0.000 0.500 0.894
0.000 0.500 0.304
0.000 0.500 0.500
0.500 0.000 0.106
0.500 0.500 0.794
0.500 0.500 0.402
0.000 0.000 0.598
0.000 0.000 0.206
0.000 0.000 0.402
0.000 0.000 0.794
0.000 0.000 0.000
```